MnTcO2F: optimized geometry, PBE with a Hubbard U.

Unit cell a=3.851 b=3.851 c=4.092 alpha=90.00 beta=90.00 gamma=90.00
Element x y z (fractional)
Mn 0.000 0.000 0.000
Tc 0.500 0.500 0.500
O 0.000 0.500 0.000
O 0.500 0.000 0.000
F 0.000 0.000 0.500

Results
total DFT energy (no corrections) = -6.337 eV/atom
space-group type = P4/mmm, No. 123
crystal system = tetragonal